The following is a PBE calculation of crystalline Pm5Ge5Pt2 at its relaxed geometry, from Alexandria via LeMat-Bulk.

Calculated values
The calculation puts the raw total energy at -5.808 eV per atom. As for the space group: C2/m (12). Its energy relative to the lowest polymorph listed for this composition is 0 meV/atom. For the density of states at the Fermi level, the calculation gives 4.54 states/eV/f.u. The calculation puts the density at 8.613 g cm⁻³. The value obtained for the volume is 23.751 Å³/atom. The formation energy comes out at -0.898 eV/atom. Its size of the total moment is 0.00 μB per formula unit.

abc: 4.3381 8.0253 8.7847
angles: 88.72 75.71 74.32
Closest atoms and distances in Å follow each position.
Positions (direct):
Pm 0.6256 0.0734 0.6754  5 Ge 2.99-3.14, 1 Pt 3.13
Pm 0.3744 0.9266 0.3246  5 Ge 2.99-3.14, 1 Pt 3.13
Pm 0.0000 0.5000 0.5000  4 Pt 3.08, 6 Ge 3.11-3.36
Pm 0.6919 0.6954 0.9208  3 Pt 3.07-3.10, 7 Ge 3.14-3.25
Ge 0.7255 0.2140 0.3349  1 Pt 2.57
Ge 0.0555 0.6983 0.1908  2 Pt 2.59
Pt 0.3860 0.4727 0.7552  3 Ge 2.57-2.59
Pt 0.6140 0.5273 0.2448  3 Ge 2.57-2.59
Pm 0.3081 0.3046 0.0792  3 Pt 3.07-3.10, 7 Ge 3.14-3.25
Ge 0.9445 0.3017 0.8092  2 Pt 2.59
Ge 0.0000 0.0000 0.0000  4 Ge 2.90-3.23, 4 Pm 3.25
Ge 0.2745 0.7860 0.6651  1 Pt 2.57